# 1
An optimized crystal structure of Sr3Mg8Zn3, computed with GGA-PBE.

abc: 4.899 9.290 9.290
angles: 71.48 74.71 74.71
Sites, in units of the cell vectors:
Mg 0.393 0.321 0.892
Mg 0.182 0.468 0.168
Sr 0.500 0.500 0.500
Mg 0.818 0.832 0.532
Zn 0.000 0.757 0.243
Mg 0.607 0.679 0.108
Mg 0.607 0.108 0.679
Zn 0.000 0.243 0.757
Sr 0.830 0.170 0.170
Mg 0.182 0.168 0.468
Mg 0.818 0.532 0.832
Mg 0.393 0.892 0.321
Zn 0.500 0.000 0.000
Sr 0.170 0.830 0.830

Output
* energy relative to the elements: -0.071 eV per atom
* symmetry: Immm (71)
* E: -1.62 eV/atom


# 2
An optimized crystal structure of Sr4MgZn, computed with GGA-PBE.

abc: 7.385 7.385 7.385
angles: 60.00 60.00 60.00
Sites, in units of the cell vectors:
Zn 0.750 0.750 0.750
Sr 0.375 0.876 0.375
Sr 0.375 0.375 0.375
Mg 0.000 0.000 0.000
Sr 0.375 0.375 0.876
Sr 0.876 0.375 0.375

Output
* energy relative to the elements: 0.481 eV per atom
* symmetry: F-43m (216)
* E: -1.12 eV/atom


# 3
An optimized crystal structure of SrMg3Zn2, computed with GGA-PBE.

abc: 4.434 8.955 8.568
angles: 115.41 90.00 104.33
Sites, in units of the cell vectors:
Mg 0.318 0.636 0.555
Mg 0.042 0.083 0.371
Zn 0.804 0.609 0.311
Sr 0.149 0.298 0.068
Zn 0.517 0.034 0.157
Mg 0.682 0.364 0.445
Zn 0.483 0.966 0.843
Mg 0.596 0.192 0.688
Zn 0.196 0.391 0.689
Mg 0.958 0.917 0.629
Sr 0.851 0.702 0.932
Mg 0.404 0.808 0.312

Output
* energy relative to the elements: -0.137 eV per atom
* symmetry: C2/m (12)
* E: -1.64 eV/atom


# 4
An optimized crystal structure of SrMg6Zn4, computed with GGA-PBE.

abc: 4.528 7.791 7.791
angles: 120.00 90.00 90.00
Sites, in units of the cell vectors:
Mg 0.000 0.533 0.066
Zn 0.500 0.787 0.213
Mg 0.500 0.202 0.798
Zn 0.500 0.787 0.574
Mg 0.500 0.595 0.798
Sr 0.000 0.000 0.000
Mg 0.000 0.533 0.467
Mg 0.000 0.934 0.467
Zn 0.500 0.426 0.213
Zn 0.000 0.333 0.667
Mg 0.500 0.202 0.405

Output
* energy relative to the elements: -0.130 eV per atom
* symmetry: P-6m2 (187)
* E: -1.62 eV/atom


# 5
An optimized crystal structure of SrMg22Zn6, computed with GGA-PBE.

abc: 9.772 9.772 9.772
angles: 60.00 60.00 60.00
Sites, in units of the cell vectors:
Zn 0.738 0.262 0.738
Mg 0.652 0.348 0.000
Sr 0.000 0.000 0.000
Mg 0.384 0.848 0.384
Mg 0.000 0.000 0.348
Zn 0.738 0.738 0.262
Zn 0.262 0.738 0.262
Mg 0.848 0.384 0.384
Zn 0.262 0.262 0.738
Mg 0.250 0.250 0.250
Mg 0.616 0.152 0.616
Mg 0.000 0.348 0.000
Zn 0.738 0.262 0.262
Mg 0.000 0.000 0.652
Mg 0.652 0.000 0.000
Mg 0.348 0.000 0.652
Mg 0.750 0.750 0.750
Mg 0.000 0.652 0.348
Mg 0.384 0.384 0.384
Zn 0.262 0.738 0.738
Mg 0.616 0.616 0.616
Mg 0.384 0.384 0.848
Mg 0.000 0.652 0.000
Mg 0.348 0.652 0.000
Mg 0.152 0.616 0.616
Mg 0.000 0.348 0.652
Mg 0.348 0.000 0.000
Mg 0.652 0.000 0.348
Mg 0.616 0.616 0.152

Output
* energy relative to the elements: -0.011 eV per atom
* symmetry: Fm-3m (225)
* E: -1.54 eV/atom


# 6
An optimized crystal structure of Sr6MgZn2, computed with GGA-PBE.

abc: 9.832 9.832 9.832
angles: 106.00 109.62 112.86
Sites, in units of the cell vectors:
Sr 0.098 0.280 0.818
Sr 0.194 0.754 0.948
Zn 0.333 0.000 0.333
Sr 0.689 0.019 0.330
Sr 0.806 0.754 0.560
Sr 0.538 0.720 0.818
Sr 0.902 0.720 0.182
Zn 0.500 0.611 0.111
Sr 0.689 0.360 0.670
Sr 0.311 0.640 0.330
Mg 0.000 0.000 0.000
Zn 0.667 0.000 0.667
Mg 0.000 0.500 0.500
Sr 0.462 0.280 0.182
Sr 0.806 0.246 0.052
Zn 0.500 0.389 0.889
Sr 0.311 0.981 0.670
Sr 0.194 0.246 0.440

Output
* energy relative to the elements: -0.090 eV per atom
* symmetry: Immm (71)
* E: -1.67 eV/atom